Record 1
# PBE ZrPSe2, optimized geometry
data_ZrPSe2
_symmetry_space_group_name_H-M 'I -4 2 d'
_symmetry_Int_Tables_number 122
_symmetry_space_group_name_Hall 'I -4 2bw'
_cell_length_a 3.858
_cell_length_b 3.858
_cell_length_c 21.618
_cell_angle_alpha 90.00
_cell_angle_beta 90.00
_cell_angle_gamma 90.00
loop_
_atom_site_label
_atom_site_type_symbol
_atom_site_fract_x
_atom_site_fract_y
_atom_site_fract_z
Zr1 Zr 0.000 0.000 0.000
P1 P 0.000 0.000 0.500
Se1 Se 0.247 0.250 0.125
# - Calculated total energy: -88.92 eV/cell
# - E_form (uncorrected): -0.33 eV/atom
# - Calculated volume: 20.1 A^3/atom



Record 2
# PBE ZrPSe2, optimized geometry
data_ZrPSe2
_symmetry_space_group_name_H-M 'I -4 m 2'
_symmetry_Int_Tables_number 119
_symmetry_space_group_name_Hall 'I -4 -2'
_cell_length_a 3.953
_cell_length_b 3.953
_cell_length_c 9.717
_cell_angle_alpha 90.00
_cell_angle_beta 90.00
_cell_angle_gamma 90.00
loop_
_atom_site_label
_atom_site_type_symbol
_atom_site_fract_x
_atom_site_fract_y
_atom_site_fract_z
Zr1 Zr 0.000 0.000 0.000
P1 P 0.000 0.500 0.750
Se1 Se 0.000 0.000 0.500
Se2 Se 0.000 0.500 0.250
# - Calculated total energy: -44.01 eV/cell
# - E_form (uncorrected): -0.27 eV/atom
# - Calculated volume: 19.0 A^3/atom



Record 3
# PBE ZrPSe2, optimized geometry
data_ZrPSe2
_symmetry_space_group_name_H-M 'F -4 3 m'
_symmetry_Int_Tables_number 216
_symmetry_space_group_name_Hall 'F -4 2 3'
_cell_length_a 6.731
_cell_length_b 6.731
_cell_length_c 6.731
_cell_angle_alpha 90.00
_cell_angle_beta 90.00
_cell_angle_gamma 90.00
loop_
_atom_site_label
_atom_site_type_symbol
_atom_site_fract_x
_atom_site_fract_y
_atom_site_fract_z
Zr1 Zr 0.000 0.000 0.000
P1 P 0.250 0.250 0.750
Se1 Se 0.000 0.000 0.500
Se2 Se 0.250 0.250 0.250
# - Calculated total energy: -84.68 eV/cell
# - E_form (uncorrected): -0.06 eV/atom
# - Calculated volume: 19.1 A^3/atom



Record 4
# PBE ZrPSe2, optimized geometry
data_ZrPSe2
_symmetry_space_group_name_H-M 'P m m m'
_symmetry_Int_Tables_number 47
_symmetry_space_group_name_Hall '-P 2 2'
_cell_length_a 3.648
_cell_length_b 3.937
_cell_length_c 5.552
_cell_angle_alpha 90.00
_cell_angle_beta 90.00
_cell_angle_gamma 90.00
loop_
_atom_site_label
_atom_site_type_symbol
_atom_site_fract_x
_atom_site_fract_y
_atom_site_fract_z
Zr1 Zr 0.000 0.000 0.000
P1 P 0.500 0.000 0.500
Se1 Se 0.000 0.500 0.500
Se2 Se 0.500 0.500 0.000
# - Calculated total energy: -22.00 eV/cell
# - E_form (uncorrected): -0.27 eV/atom
# - Calculated volume: 19.9 A^3/atom